CaDyV2O8 after structural relaxation, computed with PBE with a Hubbard U.

```
CaDyV2O8
1.0
-3.866 1.076 4.551
1.703 -5.775 -0.758
5.052 3.101 1.299
Ca V O Dy
1 2 8 1
Cartesian
0.000 0.000 0.000
-1.082 -2.349 1.897
0.052 0.914 3.873
-1.213 -2.331 3.631
-1.556 0.575 4.441
0.647 2.498 4.271
0.556 -2.082 1.374
3.389 -0.815 2.711
0.216 0.979 2.144
3.046 2.032 2.468
0.900 -0.397 4.637
2.837 -2.512 1.218
```

Calculated values
Magnetic moment = 1.074 μB/cell
Raw total energy = -0.5510 Ry/atom